(1)
Crystalline RbScSe3 at its relaxed geometry, computed with GGA-PBEsol.

## Properties
**Energy relative to the elements, uncorrected**: 742 meV per atom
**Spin magnetization**: 0.02 μB per formula unit
**E_tot**: -15.5 eV/cell

Lattice parameters (Å, degrees): 5.4019 5.4019 5.4019 90.00 90.00 90.00
With the nearest neighbours (Å) after each atom.
Space group Pm-3m (No. 221)
One atom of each set of equivalent atoms:
Rb  0.0000  0.0000  0.0000 (multiplicity 1)  6 Se 2.70
Sc  0.5000  0.5000  0.5000 (multiplicity 1)  12 Se 3.82
Se  0.0000  0.0000  0.5000 (multiplicity 3)  2 Rb 2.70


(2)
Crystalline FeNiPt4 at its relaxed geometry, computed with GGA-PBEsol.

## Properties
**Spin magnetization**: 4.28 μB per formula unit
**E_form**: 362 meV per atom
**E_tot**: -163.2 eV/cell

Lattice parameters (Å, degrees): 7.2225 7.2225 7.2225 90.00 90.00 90.00
With the nearest neighbours (Å) after each atom.
Space group F-43m (No. 216)
One atom of each set of equivalent atoms:
Fe  0.0000  0.0000  0.0000 (multiplicity 4)  12 Pt 2.99, 4 Ni 3.13
Ni  0.2500  0.2500  0.7500 (multiplicity 4)  12 Pt 2.99, 4 Fe 3.13
Pt  0.1249  0.1249  0.3751 (multiplicity 16)  6 Pt 2.55-2.56


(3)
Crystalline H2IrI at its relaxed geometry, computed with GGA-PBEsol.

## Properties
**Spin magnetization**: 0.00 μB per formula unit
**E_tot**: -63.3 eV/cell

Lattice parameters (Å, degrees): 5.3458 5.3458 7.4568 90.00 90.00 90.00
With the nearest neighbours (Å) after each atom.
Space group I-42d (No. 122)
One atom of each set of equivalent atoms:
H  0.0805  0.7500  0.1250 (multiplicity 8)  2 Ir 1.69
Ir  0.0000  0.0000  0.0000 (multiplicity 4)  4 H 1.69
I  0.0000  0.0000  0.5000 (multiplicity 4)  4 H 2.77


(4)
Crystalline Cd3Ag at its relaxed geometry, computed with GGA-PBEsol.

## Properties
**Spin magnetization**: 0.00 μB per formula unit
**E_form**: -51 meV per atom
**E_tot**: -14.2 eV/cell

Lattice parameters (Å, degrees): 3.1088 9.5368 5.1421 90.00 90.00 90.00
With the nearest neighbours (Å) after each atom.
Space group Imm2 (No. 44)
One atom of each set of equivalent atoms:
Cd  0.0000  0.0000  0.0000 (multiplicity 2)  8 Cd 2.93-3.11, 4 Ag 2.96-3.05
Cd  0.0000  0.2443  0.6533 (multiplicity 4)  3 Ag 2.93-2.99, 9 Cd 2.93-3.11
Ag  0.0000  0.5000  0.9890 (multiplicity 2)  10 Cd 2.93-3.05, 2 Ag 3.11


(5)
Crystalline Al5Sb4 at its relaxed geometry, computed with GGA-PBEsol.

## Properties
**Energy relative to the elements, uncorrected**: 159 meV per atom
**Spin magnetization**: 0.00 μB per formula unit
**E_tot**: -74.5 eV/cell

Lattice parameters (Å, degrees): 10.0580 10.0580 3.8521 90.00 90.00 90.00
With the nearest neighbours (Å) after each atom.
Space group I4/mmm (No. 139)
One atom of each set of equivalent atoms:
Al  0.0000  0.0000  0.0000 (multiplicity 2)  8 Al 3.00, 4 Sb 3.02
Al  0.1616  0.1616  0.5000 (multiplicity 8)  4 Sb 2.88, 4 Al 3.00-3.17
Sb  0.0000  0.3001  0.0000 (multiplicity 8)  5 Al 2.88-3.02


(6)
Crystalline KGa2Cl7 at its relaxed geometry, computed with GGA-PBEsol.

## Properties
**Energy relative to the elements, uncorrected**: -1312 meV per atom
**Spin magnetization**: 0.00 μB per formula unit
**E_tot**: -140.0 eV/cell

Lattice parameters (Å, degrees): 12.0153 9.3429 10.2705 90.00 90.00 90.00
With the nearest neighbours (Å) after each atom.
Space group Pna2_1 (No. 33)
One atom of each set of equivalent atoms:
K  0.1057  0.1434  0.0000 (multiplicity 4)  7 Cl 3.17-3.43
Ga  0.1189  0.6129  0.8532 (multiplicity 4)  4 Cl 2.15-2.32
Ga  0.1740  0.0558  0.6153 (multiplicity 4)  4 Cl 2.15-2.30
Cl  0.0103  0.1377  0.6605 (multiplicity 4)  1 Ga 2.16
Cl  0.0176  0.7925  0.7933 (multiplicity 4)  1 Ga 2.16
Cl  0.0327  0.4684  0.9812 (multiplicity 4)  1 Ga 2.15
Cl  0.1662  0.8644  0.4953 (multiplicity 4)  1 Ga 2.17
Cl  0.2097  0.5106  0.6982 (multiplicity 4)  1 Ga 2.15
Cl  0.2196  0.5440  0.2827 (multiplicity 4)  1 Ga 2.15
Cl  0.2485  0.2269  0.4797 (multiplicity 4)  2 Ga 2.30-2.32


(7)
Crystalline LaNdCuO4 at its relaxed geometry, computed with GGA-PBEsol.

## Properties
**Energy relative to the elements, uncorrected**: -2589 meV per atom
**ΔE to the lowest computed polymorph**: 0.0534 eV per atom
**Spin magnetization**: 0.00 μB per formula unit
**E_tot**: -215.9 eV/cell

Lattice parameters (Å, degrees): 12.8231 5.2220 5.4592 90.00 90.28 90.00
With the nearest neighbours (Å) after each atom.
Space group C2/m (No. 12)
One atom of each set of equivalent atoms:
La  0.1393  0.0000  0.4864 (multiplicity 4)  4 O 2.30-2.56
Nd  0.1373  0.5000  0.0165 (multiplicity 4)  4 O 2.30-2.50
Cu  0.0000  0.0000  0.0000 (multiplicity 2)  4 O 1.89
Cu  0.0000  0.5000  0.5000 (multiplicity 2)  4 O 1.90
O  0.0120  0.2529  0.7543 (multiplicity 8)  2 Cu 1.89-1.90
O  0.1842  0.5000  0.4376 (multiplicity 4)  1 La 2.30, 1 Nd 2.37, 1 Cu 2.39
O  0.1867  0.0000  0.0596 (multiplicity 4)  1 Nd 2.30, 1 La 2.41, 1 Cu 2.41


(8)
Crystalline Cd2GaPt2 at its relaxed geometry, computed with GGA-PBEsol.

## Properties
**Spin magnetization**: 0.00 μB per formula unit
**E_form**: -358 meV per atom
**E_tot**: -42.9 eV/cell

Lattice parameters (Å, degrees): 6.4953 6.4953 4.1992 90.00 90.00 90.00
With the nearest neighbours (Å) after each atom.
Space group P4/mbm (No. 127)
One atom of each set of equivalent atoms:
Cd  0.1577  0.3423  0.0000 (multiplicity 4)  6 Pt 2.75-2.90, 1 Cd 2.90
Ga  0.0000  0.0000  0.5000 (multiplicity 2)  4 Pt 2.48
Pt  0.1494  0.6494  0.5000 (multiplicity 4)  2 Ga 2.48, 1 Pt 2.74, 2 Cd 2.75


(9)
Crystalline Li3Fe3NiO8 at its relaxed geometry, computed with GGA-PBEsol.

## Properties
**Energy relative to the elements, uncorrected**: -1472 meV per atom
**Spin magnetization**: 3.00 μB per formula unit
**E_tot**: -206.0 eV/cell

Lattice parameters (Å, degrees): 9.7006 5.6109 5.7263 90.00 124.57 90.00
With the nearest neighbours (Å) after each atom.
Space group C2/m (No. 12)
One atom of each set of equivalent atoms:
Li  0.0000  0.0000  0.0000 (multiplicity 2)  6 O 2.04-2.08
Li  0.2500  0.2500  0.0000 (multiplicity 4)  6 O 2.10-2.12
Fe  0.0000  0.0000  0.5000 (multiplicity 2)  6 O 1.87-1.90
Fe  0.2500  0.2500  0.5000 (multiplicity 4)  6 O 1.89-1.92
Ni  0.0000  0.5000  0.5000 (multiplicity 2)  6 O 1.94-1.96
O  0.0135  0.2422  0.2883 (multiplicity 8)  2 Fe 1.87-1.89, 1 Ni 1.94, 1 Li 2.08
O  0.2376  0.0000  0.7166 (multiplicity 4)  3 Fe 1.90-1.92, 2 Li 2.10
O  0.2451  0.5000  0.7219 (multiplicity 4)  2 Fe 1.91, 1 Ni 1.96, 3 Li 2.04-2.10


(10)
Crystalline ZrZn2Tc at its relaxed geometry, computed with GGA-PBEsol.

## Properties
**ΔE to the lowest computed polymorph**: 0.2683 eV per atom
**Spin magnetization**: 0.00 μB per formula unit
**E_form**: 38 meV per atom
**E_tot**: -93.5 eV/cell

Lattice parameters (Å, degrees): 6.3092 6.3092 6.3092 90.00 90.00 90.00
With the nearest neighbours (Å) after each atom.
Space group F-43m (No. 216)
One atom of each set of equivalent atoms:
Zr  0.0000  0.0000  0.0000 (multiplicity 4)  4 Zn 2.73, 4 Tc 2.73
Zn  0.0000  0.0000  0.5000 (multiplicity 4)  4 Tc 2.73, 4 Zn 2.73
Zn  0.2500  0.2500  0.7500 (multiplicity 4)  4 Zr 2.73, 4 Zn 2.73
Tc  0.2500  0.2500  0.2500 (multiplicity 4)  4 Zr 2.73, 4 Zn 2.73


(11)
Crystalline ZnCd at its relaxed geometry, computed with GGA-PBEsol.

## Properties
**Spin magnetization**: 0.00 μB per formula unit
**E_form**: 69 meV per atom
**E_tot**: -5.3 eV/cell

Lattice parameters (Å, degrees): 2.9445 2.9445 9.3418 90.00 90.00 120.00
With the nearest neighbours (Å) after each atom.
Space group P-3m1 (No. 164)
One atom of each set of equivalent atoms:
Zn  0.3333  0.6667  0.3936 (multiplicity 2)  3 Zn 2.62, 3 Cd 2.89
Cd  0.3333  0.6667  0.8568 (multiplicity 2)  3 Zn 2.89, 9 Cd 2.94-3.17